[1]
Computed, not measured: a geometry-optimized Zn2InPb structure at the PBE-GGA level of DFT.

Values from the calculation:
The excess energy over the best structure of this formula in the dataset comes out at 47.8 meV per atom. As for the electronic total energy: -2.107 eV/atom.

```
data_Zn2InPb
_space_group_name_H-M_alt 'I m m 2'
_space_group_IT_number 44
_space_group_name_Hall 'I 2 -2'
_cell_length_a 3.383
_cell_length_b 5.120
_cell_length_c 10.671
_cell_angle_alpha 90.00
_cell_angle_beta 90.00
_cell_angle_gamma 90.00
loop_
_atom_site_label
_atom_site_type_symbol
_atom_site_fract_x
_atom_site_fract_y
_atom_site_fract_z
Zn1 Zn 0.000 0.000 0.000
Zn2 Zn 0.000 0.500 0.307
In1 In 0.000 0.500 0.758
Pb1 Pb 0.000 0.000 0.547
```

[2]
Computed, not measured: a geometry-optimized ZnIn2Pb structure at the PBE-GGA level of DFT.

Values from the calculation:
As for the electronic total energy: -2.526 eV/atom.

```
data_ZnIn2Pb
_space_group_name_H-M_alt 'C 1 2/m 1'
_space_group_IT_number 12
_space_group_name_Hall '-C 2y'
_cell_length_a 10.572
_cell_length_b 3.462
_cell_length_c 5.819
_cell_angle_alpha 90.00
_cell_angle_beta 105.04
_cell_angle_gamma 90.00
loop_
_atom_site_label
_atom_site_type_symbol
_atom_site_fract_x
_atom_site_fract_y
_atom_site_fract_z
Zn1 Zn 0.000 0.000 0.000
In1 In 0.232 0.500 0.225
Pb1 Pb 0.000 0.500 0.500
```

[3]
Computed, not measured: a geometry-optimized ZnIn2Pb structure at the PBE-GGA level of DFT.

Values from the calculation:
As for the electronic total energy: -2.543 eV/atom.

```
data_ZnIn2Pb
_space_group_name_H-M_alt 'P 4/m m m'
_space_group_IT_number 123
_space_group_name_Hall '-P 4 2'
_cell_length_a 3.391
_cell_length_b 3.391
_cell_length_c 8.872
_cell_angle_alpha 90.00
_cell_angle_beta 90.00
_cell_angle_gamma 90.00
loop_
_atom_site_label
_atom_site_type_symbol
_atom_site_fract_x
_atom_site_fract_y
_atom_site_fract_z
Zn1 Zn 0.000 0.000 0.000
In1 In 0.500 0.500 0.215
Pb1 Pb 0.000 0.000 0.500
```

[4]
Computed, not measured: a geometry-optimized Zn2InPb structure at the PBE-GGA level of DFT.

Values from the calculation:
The excess energy over the best structure of this formula in the dataset comes out at 43.9 meV per atom. As for the electronic total energy: -2.111 eV/atom.

```
data_Zn2InPb
_space_group_name_H-M_alt 'R 3 m'
_space_group_IT_number 160
_space_group_name_Hall 'R 3 -2"'
_cell_length_a 3.4432
_cell_length_b 3.4432
_cell_length_c 27.4520
_cell_angle_alpha 90.00
_cell_angle_beta 90.00
_cell_angle_gamma 120.00
loop_
_atom_site_label
_atom_site_type_symbol
_atom_site_fract_x
_atom_site_fract_y
_atom_site_fract_z
Zn1 Zn 0.0000 0.0000 0.0000
Zn2 Zn 0.0000 0.0000 0.2712
In1 In 0.0000 0.0000 0.7472
Pb1 Pb 0.0000 0.0000 0.5165
```

[5]
Computed, not measured: a geometry-optimized Zn2InPb structure at the PBE-GGA level of DFT.

Values from the calculation:
The excess energy over the best structure of this formula in the dataset comes out at 65.1 meV per atom. As for the electronic total energy: -2.090 eV/atom.

```
data_Zn2InPb
_space_group_name_H-M_alt 'R 3 m'
_space_group_IT_number 160
_space_group_name_Hall 'R 3 -2"'
_cell_length_a 3.5164
_cell_length_b 3.5164
_cell_length_c 26.5074
_cell_angle_alpha 90.00
_cell_angle_beta 90.00
_cell_angle_gamma 120.00
loop_
_atom_site_label
_atom_site_type_symbol
_atom_site_fract_x
_atom_site_fract_y
_atom_site_fract_z
Zn1 Zn 0.0000 0.0000 0.0000
Zn2 Zn 0.0000 0.0000 0.1748
In1 In 0.0000 0.0000 0.5867
Pb1 Pb 0.0000 0.0000 0.4214
```

[6]
Computed, not measured: a geometry-optimized ZnIn4Pb structure at the PBE-GGA level of DFT.

Values from the calculation:
As for the electronic total energy: -2.464 eV/atom.

```
data_ZnIn4Pb
_space_group_name_H-M_alt 'F -4 3 m'
_space_group_IT_number 216
_space_group_name_Hall 'F -4 2 3'
_cell_length_a 8.764
_cell_length_b 8.764
_cell_length_c 8.764
_cell_angle_alpha 90.00
_cell_angle_beta 90.00
_cell_angle_gamma 90.00
loop_
_atom_site_label
_atom_site_type_symbol
_atom_site_fract_x
_atom_site_fract_y
_atom_site_fract_z
Zn1 Zn 0.000 0.000 0.000
In1 In 0.125 0.125 0.625
Pb1 Pb 0.250 0.250 0.250
```

[7]
Computed, not measured: a geometry-optimized ZnIn2Pb structure at the PBE-GGA level of DFT.

Values from the calculation:
As for the electronic total energy: -2.513 eV/atom.

```
data_ZnIn2Pb
_space_group_name_H-M_alt 'I m m 2'
_space_group_IT_number 44
_space_group_name_Hall 'I 2 -2'
_cell_length_a 3.528
_cell_length_b 5.539
_cell_length_c 10.652
_cell_angle_alpha 90.00
_cell_angle_beta 90.00
_cell_angle_gamma 90.00
loop_
_atom_site_label
_atom_site_type_symbol
_atom_site_fract_x
_atom_site_fract_y
_atom_site_fract_z
Zn1 Zn 0.000 0.000 0.000
In1 In 0.000 0.000 0.486
In2 In 0.000 0.500 0.717
Pb1 Pb 0.000 0.500 0.266
```

[8]
Computed, not measured: a geometry-optimized ZnInPb3 structure at the PBE-GGA level of DFT.

Values from the calculation:
The excess energy over the best structure of this formula in the dataset comes out at 0.0 meV per atom. As for the electronic total energy: -2.724 eV/atom.

```
data_ZnInPb3
_space_group_name_H-M_alt 'P m -3 m'
_space_group_IT_number 221
_space_group_name_Hall '-P 4 2 3'
_cell_length_a 5.445
_cell_length_b 5.445
_cell_length_c 5.445
_cell_angle_alpha 90.00
_cell_angle_beta 90.00
_cell_angle_gamma 90.00
loop_
_atom_site_label
_atom_site_type_symbol
_atom_site_fract_x
_atom_site_fract_y
_atom_site_fract_z
Zn1 Zn 0.000 0.000 0.000
In1 In 0.500 0.500 0.500
Pb1 Pb 0.000 0.000 0.500
```

[9]
Computed, not measured: a geometry-optimized ZnIn2Pb structure at the PBE-GGA level of DFT.

Values from the calculation:
As for the electronic total energy: -2.531 eV/atom.

```
data_ZnIn2Pb
_space_group_name_H-M_alt 'P m m 2'
_space_group_IT_number 25
_space_group_name_Hall 'P 2 -2'
_cell_length_a 3.546
_cell_length_b 3.973
_cell_length_c 7.299
_cell_angle_alpha 90.00
_cell_angle_beta 90.00
_cell_angle_gamma 90.00
loop_
_atom_site_label
_atom_site_type_symbol
_atom_site_fract_x
_atom_site_fract_y
_atom_site_fract_z
Zn1 Zn 0.000 0.000 0.000
In1 In 0.000 0.000 0.458
In2 In 0.500 0.500 0.201
Pb1 Pb 0.500 0.500 0.751
```

[10]
Computed, not measured: a geometry-optimized Zn2InPb structure at the PBE-GGA level of DFT.

Values from the calculation:
The excess energy over the best structure of this formula in the dataset comes out at 71.9 meV per atom. As for the electronic total energy: -2.083 eV/atom.

```
data_Zn2InPb
_space_group_name_H-M_alt 'I -4 m 2'
_space_group_IT_number 119
_space_group_name_Hall 'I -4 -2'
_cell_length_a 4.255
_cell_length_b 4.255
_cell_length_c 10.231
_cell_angle_alpha 90.00
_cell_angle_beta 90.00
_cell_angle_gamma 90.00
loop_
_atom_site_label
_atom_site_type_symbol
_atom_site_fract_x
_atom_site_fract_y
_atom_site_fract_z
Zn1 Zn 0.000 0.000 0.000
Zn2 Zn 0.000 0.500 0.250
In1 In 0.000 0.500 0.750
Pb1 Pb 0.000 0.000 0.500
```

[11]
Computed, not measured: a geometry-optimized ZnIn2Pb structure at the PBE-GGA level of DFT.

Values from the calculation:
As for the electronic total energy: -2.547 eV/atom.

```
data_ZnIn2Pb
_space_group_name_H-M_alt 'R -3 m'
_space_group_IT_number 166
_space_group_name_Hall '-R 3 2"'
_cell_length_a 3.4543
_cell_length_b 3.4543
_cell_length_c 30.0444
_cell_angle_alpha 90.00
_cell_angle_beta 90.00
_cell_angle_gamma 120.00
loop_
_atom_site_label
_atom_site_type_symbol
_atom_site_fract_x
_atom_site_fract_y
_atom_site_fract_z
Zn1 Zn 0.0000 0.0000 0.0000
In1 In 0.0000 0.0000 0.2622
Pb1 Pb 0.0000 0.0000 0.5000
```

[12]
Computed, not measured: a geometry-optimized ZnIn2Pb structure at the PBE-GGA level of DFT.

Values from the calculation:
As for the electronic total energy: -2.487 eV/atom.

```
data_ZnIn2Pb
_space_group_name_H-M_alt 'I -4 2 d'
_space_group_IT_number 122
_space_group_name_Hall 'I -4 2bw'
_cell_length_a 8.372
_cell_length_b 8.372
_cell_length_c 6.097
_cell_angle_alpha 90.00
_cell_angle_beta 90.00
_cell_angle_gamma 90.00
loop_
_atom_site_label
_atom_site_type_symbol
_atom_site_fract_x
_atom_site_fract_y
_atom_site_fract_z
Zn1 Zn 0.000 0.000 0.000
In1 In 0.205 0.750 0.125
Pb1 Pb 0.000 0.000 0.500
```